1.
The following is a PBE-GGA calculation of a relaxed structure of CsPrCdI6, from Alexandria.

Results
The value obtained for the final energy is -2.924 eV/atom. The calculation puts the formation energy (no corrections) at -1.163 eV/atom.

a b c (Å): 8.028 8.028 8.621
angles (deg): 90.00 90.00 120.00
Atoms (fractional coordinates):
Cs 0.000 0.000 0.000
Pr 0.667 0.333 0.500
Cd 0.333 0.667 0.500
I 0.011 0.381 0.290
I 0.011 0.629 0.710
I 0.371 0.381 0.710
I 0.371 0.989 0.290
I 0.619 0.629 0.290
I 0.619 0.989 0.710

***

2.
The following is a PBE-GGA calculation of a relaxed structure of Cs2PrCdI6, from Alexandria.

Results
The value obtained for the final energy is -2.871 eV/atom. The calculation puts the formation energy (no corrections) at -1.201 eV/atom.

a b c (Å): 8.984 12.666 8.967
angles (deg): 90.00 90.00 90.00
Atoms (fractional coordinates):
Cs 0.250 0.006 0.244
Cs 0.250 0.494 0.244
Cs 0.750 0.506 0.756
Cs 0.750 0.994 0.756
Pr 0.250 0.250 0.748
Pr 0.750 0.750 0.252
Cd 0.250 0.750 0.750
Cd 0.750 0.250 0.250
I 0.003 0.250 0.996
I 0.005 0.250 0.499
I 0.250 0.002 0.753
I 0.250 0.498 0.753
I 0.495 0.250 0.499
I 0.497 0.250 0.996
I 0.503 0.750 0.004
I 0.505 0.750 0.501
I 0.750 0.502 0.247
I 0.750 0.998 0.247
I 0.995 0.750 0.501
I 0.997 0.750 0.004

***

Q: The highest formation energy (no corrections) belongs to which entry?
A: CsPrCdI6

***

Q: Which of these has the lowest formation energy (no corrections)?
A: Cs2PrCdI6